(1)
A relaxed HfThSb2 crystal. Source: Alexandria via LeMat-Bulk, functional PBE.

Cell: 4.2066 4.2066 22.3419 Å, 90.00 90.00 120.00°
Space group R3m (No. 160, hexagonal axes)
Unique sites:
Hf: 0.0000 0.0000 0.0000 (multiplicity 3)
Th: 0.0000 0.0000 0.8253 (multiplicity 3)
Sb: 0.0000 0.0000 0.2538 (multiplicity 3)
Sb: 0.0000 0.0000 0.4043 (multiplicity 3)

Computed properties:
The calculation puts the density of states at the Fermi level at 3.48 states/eV/cell. The energy above the most stable polymorph in this dataset comes out at 0.0 meV per atom.



(2)
A relaxed CeNiAg2 crystal. Source: Alexandria via LeMat-Bulk, functional PBE.

Cell: 4.191 9.463 7.886 Å, 90.00 90.00 90.00°
Space group Cmcm (No. 63)
Unique sites:
Ce: 0.000 0.060 0.250 (multiplicity 4)
Ni: 0.000 0.220 0.750 (multiplicity 4)
Ag: 0.000 0.354 0.053 (multiplicity 8)

Computed properties:
The calculation puts the density of states at the Fermi level at 24.63 states/eV/cell. The calculation puts the formation energy at -0.17 eV/atom.



(3)
A relaxed K2YAuBr6 crystal. Source: Alexandria via LeMat-Bulk, functional PBE.

Cell: 11.266 11.266 11.266 Å, 90.00 90.00 90.00°
Space group Fm-3m (No. 225)
Unique sites:
K: 0.250 0.250 0.250 (multiplicity 8)
Y: 0.000 0.000 0.000 (multiplicity 4)
Au: 0.000 0.000 0.500 (multiplicity 4)
Br: 0.000 0.000 0.248 (multiplicity 24)

Computed properties:
The calculation puts the density of states at the Fermi level at 0.00 states/eV/cell. The energy above the most stable polymorph in this dataset comes out at 99.8 meV per atom.



(4)
A relaxed NaFe2Re crystal. Source: Alexandria via LeMat-Bulk, functional PBE.

Cell: 5.916 5.916 5.916 Å, 90.00 90.00 90.00°
Space group Fm-3m (No. 225)
Unique sites:
Na: 0.000 0.000 0.000 (multiplicity 4)
Fe: 0.250 0.250 0.250 (multiplicity 8)
Re: 0.000 0.000 0.500 (multiplicity 4)

Computed properties:
The calculation puts the density of states at the Fermi level at 5.90 states/eV/cell. The calculation puts the formation energy at 0.79 eV/atom. The energy above the most stable polymorph in this dataset comes out at 0.0 meV per atom.



(5)
A relaxed La2CoNiH crystal. Source: Alexandria via LeMat-Bulk, functional PBE.

Cell: 5.072 5.072 3.505 Å, 90.00 90.00 90.00°
Space group P4/mmm (No. 123)
Unique sites:
La: 0.000 0.500 0.000 (multiplicity 2)
Co: 0.000 0.000 0.500 (multiplicity 1)
Ni: 0.500 0.500 0.500 (multiplicity 1)
H: 0.000 0.000 0.000 (multiplicity 1)

Computed properties:
The calculation puts the density of states at the Fermi level at 3.27 states/eV/cell. The energy above the most stable polymorph in this dataset comes out at 59.4 meV per atom.



(6)
A relaxed BaNaAg17 crystal. Source: Alexandria via LeMat-Bulk, functional PBE.

Cell: 9.7595 9.7595 14.3567 Å, 90.00 90.00 120.00°
Space group R3m (No. 160, hexagonal axes)
Unique sites:
Ba: 0.0000 0.0000 0.0000 (multiplicity 3)
Na: 0.0000 0.0000 0.6809 (multiplicity 3)
Ag: 0.0000 0.0000 0.2486 (multiplicity 3)
Ag: 0.0000 0.0000 0.4444 (multiplicity 3)
Ag: 0.0032 0.5016 0.8417 (multiplicity 9)
Ag: 0.0038 0.3004 0.3432 (multiplicity 18)
Ag: 0.0040 0.5020 0.4966 (multiplicity 9)
Ag: 0.0078 0.5039 0.1905 (multiplicity 9)

Computed properties:
The calculation puts the density of states at the Fermi level at 19.84 states/eV/cell. The calculation puts the formation energy at -0.02 eV/atom.



(7)
A relaxed Ta4ReMo crystal. Source: Alexandria via LeMat-Bulk, functional PBE.

Cell: 4.419 4.419 6.233 Å, 90.00 90.00 90.00°
Space group P4/mmm (No. 123)
Unique sites:
Ta: 0.000 0.500 0.248 (multiplicity 4)
Re: 0.000 0.000 0.000 (multiplicity 1)
Mo: 0.500 0.500 0.500 (multiplicity 1)

Computed properties:
The calculation puts the density of states at the Fermi level at 5.57 states/eV/cell. The calculation puts the formation energy at 0.45 eV/atom. The energy above the most stable polymorph in this dataset comes out at 705.0 meV per atom.



(8)
A relaxed Ca2HgPbN crystal. Source: Alexandria via LeMat-Bulk, functional PBE.

Cell: 4.870 4.870 4.992 Å, 90.00 90.00 90.00°
Space group P4/mmm (No. 123)
Unique sites:
Ca: 0.000 0.500 0.000 (multiplicity 2)
Hg: 0.000 0.000 0.500 (multiplicity 1)
Pb: 0.500 0.500 0.500 (multiplicity 1)
N: 0.500 0.500 0.000 (multiplicity 1)

Computed properties:
The calculation puts the density of states at the Fermi level at 3.11 states/eV/cell. As for the total energy: -3.6678 eV/atom.